Computed, not measured: a relaxed Sb3Ir crystal at the PBE-GGA level of DFT.

Energy relative to the elements, uncorrected = 198 meV per atom
Density of states at the Fermi level = 2.257 states/eV per cell
Calculated total energy = -5.109 eV per atom
V = 100.4 Å³ per cell

Unit cell a=3.4580 b=3.8135 c=7.6151 alpha=90.00 beta=90.00 gamma=90.00
Element x y z (fractional)
Sb: 0.0000 0.0000 0.0000
Sb: 0.0000 0.5000 0.4042
Sb: 0.5000 0.5000 0.7618
Ir: 0.5000 0.0000 0.2709

Computed, not measured: a relaxed SbIr3 crystal at the PBE-GGA level of DFT.

Energy relative to the elements, uncorrected = 419 meV per atom
Density of states at the Fermi level = 12.416 states/eV per cell
Calculated total energy = -7.257 eV per atom
V = 196.7 Å³ per cell

Unit cell a=2.9428 b=2.9428 c=26.2245 alpha=90.00 beta=90.00 gamma=120.00
Element x y z (fractional)
Sb: 0.0000 0.0000 0.0000
Sb: 0.3333 0.6667 0.6667
Sb: 0.6667 0.3333 0.3333
Ir: 0.0000 0.0000 0.2483
Ir: 0.0000 0.0000 0.5000
Ir: 0.0000 0.0000 0.7517
Ir: 0.3333 0.6667 0.1667
Ir: 0.3333 0.6667 0.4184
Ir: 0.3333 0.6667 0.9150
Ir: 0.6667 0.3333 0.0850
Ir: 0.6667 0.3333 0.5816
Ir: 0.6667 0.3333 0.8333

Computed, not measured: a relaxed SbIr2 crystal at the PBE-GGA level of DFT.

Energy relative to the elements, uncorrected = 2 meV per atom
Density of states at the Fermi level = 12.745 states/eV per cell
Calculated total energy = -7.280 eV per atom
V = 255.3 Å³ per cell

Unit cell a=3.8438 b=16.9930 c=3.9088 alpha=90.00 beta=90.00 gamma=90.00
Element x y z (fractional)
Sb: 0.0000 0.1673 0.2500
Sb: 0.0000 0.8327 0.7500
Sb: 0.5000 0.3327 0.7500
Sb: 0.5000 0.6673 0.2500
Ir: 0.0000 0.0585 0.7500
Ir: 0.0000 0.4475 0.7500
Ir: 0.0000 0.5525 0.2500
Ir: 0.0000 0.9415 0.2500
Ir: 0.5000 0.0525 0.2500
Ir: 0.5000 0.4415 0.2500
Ir: 0.5000 0.5585 0.7500
Ir: 0.5000 0.9475 0.7500

Computed, not measured: a relaxed Sb3Ir crystal at the PBE-GGA level of DFT.

Energy relative to the elements, uncorrected = 313 meV per atom
Density of states at the Fermi level = 11.454 states/eV per cell
Calculated total energy = -4.995 eV per atom
V = 459.7 Å³ per cell

Unit cell a=8.0239 b=13.6202 c=4.2067 alpha=90.00 beta=90.00 gamma=90.00
Element x y z (fractional)
Sb: 0.0000 0.0830 0.2500
Sb: 0.0000 0.9170 0.7500
Sb: 0.2488 0.3376 0.2500
Sb: 0.2488 0.6624 0.7500
Sb: 0.2512 0.1624 0.7500
Sb: 0.2512 0.8376 0.2500
Sb: 0.5000 0.4170 0.7500
Sb: 0.5000 0.5830 0.2500
Sb: 0.7488 0.1624 0.7500
Sb: 0.7488 0.8376 0.2500
Sb: 0.7512 0.3376 0.2500
Sb: 0.7512 0.6624 0.7500
Ir: 0.0000 0.4561 0.2500
Ir: 0.0000 0.5439 0.7500
Ir: 0.5000 0.0439 0.7500
Ir: 0.5000 0.9561 0.2500

Computed, not measured: a relaxed SbIr3 crystal at the PBE-GGA level of DFT.

Energy relative to the elements, uncorrected = 368 meV per atom
Density of states at the Fermi level = 4.224 states/eV per cell
Calculated total energy = -7.309 eV per atom
V = 66.0 Å³ per cell

Unit cell a=2.9208 b=2.9208 c=7.7372 alpha=90.00 beta=90.00 gamma=90.00
Element x y z (fractional)
Sb: 0.0000 0.0000 0.0000
Ir: 0.0000 0.0000 0.5000
Ir: 0.5000 0.5000 0.2686
Ir: 0.5000 0.5000 0.7314

Computed, not measured: a relaxed SbIr2 crystal at the PBE-GGA level of DFT.

Energy relative to the elements, uncorrected = 374 meV per atom
Density of states at the Fermi level = 4.431 states/eV per cell
Calculated total energy = -6.908 eV per atom
V = 57.8 Å³ per cell

Unit cell a=3.8517 b=3.8517 c=3.8930 alpha=90.00 beta=90.00 gamma=90.00
Element x y z (fractional)
Sb: 0.0000 0.0000 0.0000
Ir: 0.0000 0.5000 0.5000
Ir: 0.5000 0.0000 0.5000

Computed, not measured: a relaxed Sb3Ir crystal at the PBE-GGA level of DFT.

Energy relative to the elements, uncorrected = 451 meV per atom
Density of states at the Fermi level = 5.150 states/eV per cell
Calculated total energy = -4.856 eV per atom
V = 179.7 Å³ per cell

Unit cell a=4.7036 b=4.7036 c=8.1242 alpha=90.00 beta=90.00 gamma=90.00
Element x y z (fractional)
Sb: 0.0000 0.0000 0.0000
Sb: 0.0000 0.5000 0.2500
Sb: 0.0000 0.5000 0.7500
Sb: 0.5000 0.0000 0.2500
Sb: 0.5000 0.0000 0.7500
Sb: 0.5000 0.5000 0.5000
Ir: 0.0000 0.0000 0.5000
Ir: 0.5000 0.5000 0.0000

Computed, not measured: a relaxed Sb2Ir crystal at the PBE-GGA level of DFT.

Energy relative to the elements, uncorrected = 18 meV per atom
Density of states at the Fermi level = 6.762 states/eV per cell
Calculated total energy = -5.684 eV per atom
V = 136.1 Å³ per cell

Unit cell a=3.2532 b=3.2532 c=12.8609 alpha=90.00 beta=90.00 gamma=90.00
Element x y z (fractional)
Sb: 0.0000 0.0000 0.1307
Sb: 0.0000 0.0000 0.8693
Sb: 0.5000 0.5000 0.3693
Sb: 0.5000 0.5000 0.6307
Ir: 0.0000 0.0000 0.5000
Ir: 0.5000 0.5000 0.0000